AlPt2O4 (PBE-GGA, optimized geometry); Fermi-level density of states = 6.1 states/eV/f.u.; energy = -78.014 eV/cell; formation energy without anion corrections = -479 meV/atom; crystal system = tetragonal
1.0
3.957 0.000 0.000
0.000 3.957 0.000
0.000 0.000 10.257
Al Pt O
2 4 8
direct
0.000 0.000 0.000
0.500 0.500 0.500
0.000 0.000 0.372
0.000 0.000 0.628
0.500 0.500 0.128
0.500 0.500 0.872
0.000 0.000 0.181
0.000 0.000 0.819
0.000 0.500 0.000
0.000 0.500 0.500
0.500 0.000 0.000
0.500 0.000 0.500
0.500 0.500 0.319
0.500 0.500 0.681

---

HoTmMg2Hg4 (PBE-GGA, optimized geometry); formation energy = -0.447 eV/atom; Fermi-level density of states = 2.0 states/eV/f.u.; energy = -17.020 eV/cell; crystal system = trigonal
1.0
2.521 1.456 8.253
-2.521 1.456 8.253
0.000 -2.912 8.253
Ho Tm Mg Hg
1 1 2 4
direct
0.000 0.000 0.000
0.500 0.500 0.500
0.250 0.250 0.250
0.750 0.750 0.750
0.125 0.125 0.125
0.376 0.376 0.376
0.624 0.624 0.624
0.875 0.875 0.875

---

RbGa2SbS6 (PBE-GGA, optimized geometry); energy = -80.763 eV/cell; formation energy without anion corrections = -447 meV/atom; crystal system = monoclinic
1.0
6.890 -7.014 0.000
6.890 7.014 0.000
-2.967 0.000 6.616
Rb Ga Sb S
2 4 2 12
direct
0.064 0.936 0.750
0.936 0.064 0.250
0.217 0.358 0.851
0.358 0.217 0.351
0.642 0.783 0.649
0.783 0.642 0.149
0.256 0.744 0.250
0.744 0.256 0.750
0.035 0.716 0.320
0.213 0.330 0.516
0.276 0.599 0.934
0.284 0.965 0.180
0.330 0.213 0.016
0.401 0.724 0.566
0.599 0.276 0.434
0.670 0.787 0.984
0.716 0.035 0.820
0.724 0.401 0.066
0.787 0.670 0.484
0.965 0.284 0.680

---

Ac4PdSe3 (PBE-GGA, optimized geometry); Fermi-level density of states = 5.7 states/eV/f.u.; energy = -89.332 eV/cell; formation energy without anion corrections = -1573 meV/atom; crystal system = orthorhombic
1.0
9.093 0.000 0.000
0.000 12.794 0.000
0.000 0.000 4.391
Ac Pd Se
8 2 6
direct
0.000 0.250 0.000
0.000 0.750 0.000
0.237 0.000 0.500
0.263 0.500 0.500
0.500 0.250 0.000
0.500 0.750 0.000
0.737 0.500 0.500
0.763 0.000 0.500
0.000 0.000 0.000
0.500 0.500 0.000
0.000 0.500 0.000
0.250 0.250 0.500
0.250 0.750 0.500
0.500 0.000 0.000
0.750 0.250 0.500
0.750 0.750 0.500

---

Question: The highest energy belongs to which entry?
Answer: HoTmMg2Hg4

---

Question: Which value of energy does entry 2 give?
Answer: -17.020 eV/cell

---

Question: The highest energy belongs to which entry?
Answer: HoTmMg2Hg4